# 1
Material: LaEr2Ag
Method: DFT, PBE-GGA
State: optimized geometry

Cell: 4.9550 4.7913 4.7913 Å, 90.00 90.00 90.00°
Closest atoms and distances in Å follow each position.
Atoms (fractional coordinates):
Er  0.0000  0.0000  0.5000  4 Er 3.39, 4 Ag 3.45, 4 La 3.45
Ag  0.5000  0.5000  0.5000  4 La 3.39, 8 Er 3.45
Er  0.0000  0.5000  0.0000  4 Er 3.39, 4 La 3.45, 4 Ag 3.45
La  0.5000  0.0000  0.0000  4 Ag 3.39, 8 Er 3.45

symmetry = P4/mmm
ΔE_f = 0.028 eV per atom
calculated volume = 114 Å³ per cell
VASP energy = -4.198 eV per atom



# 2
Material: La2ErAg3
Method: DFT, PBE-GGA
State: optimized geometry

Cell: 3.7072 3.7072 11.4965 Å, 90.00 90.00 90.00°
Closest atoms and distances in Å follow each position.
Atoms (fractional coordinates):
Ag  0.0000  0.0000  0.3552  4 Er 3.11, 1 Ag 3.33, 4 La 3.35
La  0.5000  0.5000  0.8262  8 Ag 3.30-3.35
Ag  0.0000  0.0000  0.0000  8 La 3.30
Er  0.5000  0.5000  0.5000  8 Ag 3.11
Ag  0.0000  0.0000  0.6448  4 Er 3.11, 1 Ag 3.33, 4 La 3.35
La  0.5000  0.5000  0.1738  8 Ag 3.30-3.35

symmetry = P4/mmm
ΔE_f = -0.282 eV per atom
calculated volume = 158 Å³ per cell
VASP energy = -4.111 eV per atom



# 3
Material: La3ErAg4
Method: DFT, PBE-GGA
State: optimized geometry

Cell: 3.7332 3.7332 15.3449 Å, 90.00 90.00 90.00°
Closest atoms and distances in Å follow each position.
Atoms (fractional coordinates):
La  0.5000  0.5000  0.5000  8 Ag 3.29
Ag  0.0000  0.0000  0.1073  4 Er 3.11, 1 Ag 3.29, 4 La 3.36
La  0.5000  0.5000  0.2428  8 Ag 3.30-3.36
Ag  0.0000  0.0000  0.3720  8 La 3.29-3.30
Ag  0.0000  0.0000  0.8927  4 Er 3.11, 1 Ag 3.29, 4 La 3.36
Ag  0.0000  0.0000  0.6280  8 La 3.29-3.30
Er  0.5000  0.5000  0.0000  8 Ag 3.11
La  0.5000  0.5000  0.7572  8 Ag 3.30-3.36

symmetry = P4/mmm
ΔE_f = -0.274 eV per atom
calculated volume = 214 Å³ per cell
VASP energy = -4.118 eV per atom



# 4
Material: LaEr2Ag
Method: DFT, PBE-GGA
State: optimized geometry

Cell: 3.5954 3.5954 10.6867 Å, 80.32 80.32 60.00°
Closest atoms and distances in Å follow each position.
Atoms (fractional coordinates):
La  0.5000  0.5000  0.5000  6 La 3.60, 6 Er 3.62
Ag  0.0000  0.0000  0.0000  6 Er 3.08
Er  0.7391  0.7391  0.7827  3 Ag 3.08
Er  0.2609  0.2609  0.2173  3 Ag 3.08

symmetry = R-3m
ΔE_f = -0.007 eV per atom
calculated volume = 117 Å³ per cell
VASP energy = -4.233 eV per atom



# 5
Material: La2ErAg
Method: DFT, PBE-GGA
State: optimized geometry

Cell: 3.7227 5.7219 5.7219 Å, 90.00 90.00 90.00°
Closest atoms and distances in Å follow each position.
Atoms (fractional coordinates):
La  0.0000  0.0000  0.5000  4 Er 3.41, 4 Ag 3.41, 2 La 3.72
La  0.0000  0.5000  0.0000  4 Er 3.41, 4 Ag 3.41, 2 La 3.72
Er  0.5000  0.5000  0.5000  8 La 3.41, 2 Er 3.72
Ag  0.5000  0.0000  0.0000  8 La 3.41, 2 Ag 3.72

symmetry = P4/mmm
ΔE_f = -0.039 eV per atom
calculated volume = 122 Å³ per cell
VASP energy = -4.356 eV per atom



# 6
Material: La2ErAg
Method: DFT, PBE-GGA
State: optimized geometry

Cell: 3.4627 3.4627 11.9592 Å, 81.68 81.68 60.00°
Closest atoms and distances in Å follow each position.
Atoms (fractional coordinates):
Ag  0.5000  0.5000  0.5000  6 La 3.27, 6 Ag 3.46
La  0.9064  0.9064  0.2807  3 Ag 3.27, 1 Er 3.31, 6 La 3.46
Er  0.0000  0.0000  0.0000  2 La 3.31, 6 Er 3.46
La  0.0936  0.0936  0.7193  3 Ag 3.27, 1 Er 3.31, 6 La 3.46

symmetry = R-3m
ΔE_f = 0.176 eV per atom
calculated volume = 122 Å³ per cell
VASP energy = -4.141 eV per atom